This record from Alexandria describes In3CuSb after structural relaxation. The functional is PBE.

```
5
Lattice="-3.167 3.787 -1.323 -3.717 -2.136 2.784 1.510 2.687 4.077" Properties=species:S:1:pos:R:3 pbc="T T T"
Sb -2.687 2.169 2.769
Cu 0.000 0.000 0.000
In -1.858 -1.068 1.392
In 0.755 1.344 2.039
In -1.584 1.894 -0.662
```

Calculated values
**Formation energy (no corrections)**: 0.1636 eV per atom
**VASP energy**: -3.1232 eV per atom
**Magnetic moment**: 0.0 μB/cell
**Energy relative to the lowest polymorph listed for this composition**: 0.0 meV/atom
**Calculated volume**: 133.54 Å³/cell